Mg3NiRh: relaxed, PBE.

Output
Excess energy over the best structure of this formula in the dataset, meV/atom: 75
Space-group type: Pm-3m
ΔE_f, eV/atom: 0.3971
N(E_F), states/eV/cell: 3.450

Cell: 4.808 4.808 4.808 Å, 90.00 90.00 90.00°
Positions (direct):
Mg1 0.000 0.500 0.000
Mg2 0.500 0.000 0.000
Mg3 0.000 0.000 0.500
Rh1 0.000 0.000 0.000
Ni1 0.500 0.500 0.500



MgNi2Rh: relaxed, PBE.

Output
Space-group type: I-42d
ΔE_f, eV/atom: 0.2481
N(E_F), states/eV/cell: 9.425

Cell: 3.584 3.584 9.239 Å, 78.82 78.82 90.00°
Site moments in Bohr magnetons follow the coordinates.
Positions (direct):
Ni1 0.875 0.887 0.750  0.40
Ni2 0.375 0.363 0.750  0.40
Ni3 0.637 0.125 0.250  0.44
Ni4 0.113 0.625 0.250  0.44
Rh1 0.750 0.250 0.500  0.23
Rh2 0.000 0.000 0.000  0.23
Mg1 0.250 0.750 0.500  -0.01
Mg2 0.500 0.500 0.000  -0.01



MgNiRh2: relaxed, PBE.

Output
Space-group type: Pmm2
ΔE_f, eV/atom: -0.1553
N(E_F), states/eV/cell: 5.108

Cell: 4.433 2.766 4.552 Å, 89.99 90.00 90.00°
Positions (direct):
Mg1 0.000 0.375 0.554
Rh1 0.500 0.375 0.194
Rh2 0.000 0.875 0.047
Ni1 0.500 0.875 0.705